A relaxed structure of CeMg6In6, computed with PBE-GGA.

Output
Its energy relative to the elements is -14 kJ per mole of atoms. The calculation puts the theoretical density at 5132 kg/m³. The density of states at the Fermi level is 0.83 states/eV/atom. Its crystal system is orthorhombic.

Structure (POSCAR):
```
CeMg6In6
1.0
-0.603 5.726 -2.080
-3.663 4.715 5.034
5.806 4.706 2.264
Ce Mg In
1 6 6
Direct
0.000 0.000 0.000
0.000 0.500 0.000
0.500 0.500 0.000
0.000 0.000 0.500
0.500 0.000 0.500
0.500 0.758 0.242
0.500 0.242 0.758
0.340 0.660 0.660
0.660 0.340 0.340
0.000 0.347 0.653
0.000 0.653 0.347
0.332 0.168 0.168
0.668 0.832 0.832
```